Record 1
# Cd2GaHg

Cd2GaHg after structural relaxation (PBE-GGA, the Alexandria database).

a = 3.267 Å, b = 3.267 Å, c = 10.079 Å
α = 97.15°, β = 97.15°, γ = 58.27°
Atoms (fractional coordinates):
Cd  0.000  0.000  0.000
Cd  0.232  0.232  0.524
Ga  0.616  0.616  0.762
Hg  0.651  0.651  0.260

Properties
energy above the lowest structure with this stoichiometry: 0.0014 eV per atom
calculated formation energy: 0.04 eV/atom
energy: -0.0459 hartree per atom


Record 2
# Cd5Ga2Hg

Cd5Ga2Hg after structural relaxation (PBE-GGA, the Alexandria database).

a = 7.317 Å, b = 7.317 Å, c = 7.317 Å
α = 149.68°, β = 105.97°, γ = 82.05°
Atoms (fractional coordinates):
Cd  0.000  0.000  0.000
Cd  0.061  0.360  0.701
Cd  0.341  0.640  0.701
Cd  0.659  0.360  0.299
Cd  0.939  0.640  0.299
Ga  0.282  0.282  0.000
Ga  0.718  0.718  0.000
Hg  0.500  0.000  0.500

Properties
energy above the lowest structure with this stoichiometry: 0.0278 eV per atom
calculated formation energy: 0.06 eV/atom
energy: -0.0479 hartree per atom


Record 3
# Cd2GaHg

Cd2GaHg after structural relaxation (PBE-GGA, the Alexandria database).

a = 9.675 Å, b = 9.675 Å, c = 9.675 Å
α = 19.76°, β = 19.76°, γ = 19.76°
Atoms (fractional coordinates):
Cd  0.247  0.247  0.247
Cd  0.753  0.753  0.753
Ga  0.500  0.500  0.500
Hg  0.000  0.000  0.000

Properties
energy above the lowest structure with this stoichiometry: 0.0114 eV per atom
calculated formation energy: 0.05 eV/atom
energy: -0.0455 hartree per atom


Record 4
# Cd2GaHg5

Cd2GaHg5 after structural relaxation (PBE-GGA, the Alexandria database).

a = 6.433 Å, b = 14.117 Å, c = 4.318 Å
α = 90.00°, β = 90.00°, γ = 90.00°
Atoms (fractional coordinates):
Cd  0.217  0.128  0.000
Cd  0.283  0.628  0.000
Cd  0.717  0.372  0.000
Cd  0.783  0.872  0.000
Ga  0.000  0.500  0.500
Ga  0.500  0.000  0.500
Hg  0.000  0.000  0.500
Hg  0.041  0.748  0.500
Hg  0.216  0.384  0.000
Hg  0.284  0.884  0.000
Hg  0.459  0.248  0.500
Hg  0.500  0.500  0.500
Hg  0.541  0.752  0.500
Hg  0.716  0.116  0.000
Hg  0.784  0.616  0.000
Hg  0.959  0.252  0.500

Properties
energy above the lowest structure with this stoichiometry: 0.0078 eV per atom
calculated formation energy: 0.05 eV/atom
energy: -0.0276 hartree per atom


Record 5
# CdGaHg

CdGaHg after structural relaxation (PBE-GGA, the Alexandria database).

a = 4.687 Å, b = 4.687 Å, c = 4.687 Å
α = 60.00°, β = 60.00°, γ = 60.00°
Atoms (fractional coordinates):
Cd  0.000  0.000  0.000
Ga  0.250  0.250  0.250
Hg  0.500  0.500  0.500

Properties
energy above the lowest structure with this stoichiometry: 0.0108 eV per atom
calculated formation energy: 0.05 eV/atom
energy: -0.0501 hartree per atom


Record 6
# Cd3GaHg3

Cd3GaHg3 after structural relaxation (PBE-GGA, the Alexandria database).

a = 8.469 Å, b = 8.469 Å, c = 5.278 Å
α = 90.00°, β = 90.00°, γ = 120.00°
Atoms (fractional coordinates):
Cd  0.050  0.240  0.250
Cd  0.190  0.950  0.250
Cd  0.240  0.190  0.750
Cd  0.760  0.810  0.250
Cd  0.810  0.050  0.750
Cd  0.950  0.760  0.750
Ga  0.333  0.667  0.250
Ga  0.667  0.333  0.750
Hg  0.094  0.471  0.750
Hg  0.377  0.906  0.750
Hg  0.471  0.377  0.250
Hg  0.529  0.623  0.750
Hg  0.623  0.094  0.250
Hg  0.906  0.529  0.250

Properties
energy above the lowest structure with this stoichiometry: 0.0072 eV per atom
calculated formation energy: 0.05 eV/atom
energy: -0.0331 hartree per atom


Record 7
# Cd15GaHg4

Cd15GaHg4 after structural relaxation (PBE-GGA, the Alexandria database).

a = 4.359 Å, b = 4.668 Å, c = 23.100 Å
α = 87.84°, β = 85.95°, γ = 84.86°
Atoms (fractional coordinates):
Cd  0.000  0.000  0.000
Cd  0.000  0.500  0.500
Cd  0.045  0.007  0.408
Cd  0.123  0.188  0.800
Cd  0.336  0.776  0.295
Cd  0.379  0.310  0.200
Cd  0.437  0.900  0.100
Cd  0.459  0.491  0.593
Cd  0.500  0.500  0.000
Cd  0.541  0.509  0.407
Cd  0.563  0.100  0.900
Cd  0.621  0.690  0.800
Cd  0.664  0.224  0.705
Cd  0.877  0.812  0.200
Cd  0.955  0.993  0.592
Ga  0.500  0.000  0.500
Hg  0.063  0.600  0.900
Hg  0.159  0.720  0.704
Hg  0.841  0.280  0.296
Hg  0.937  0.400  0.100

Properties
calculated formation energy: 0.03 eV/atom
energy: -0.0321 hartree per atom


Record 8
# Cd3Ga2Hg4

Cd3Ga2Hg4 after structural relaxation (PBE-GGA, the Alexandria database).

a = 8.671 Å, b = 8.671 Å, c = 5.958 Å
α = 102.22°, β = 102.22°, γ = 82.42°
Atoms (fractional coordinates):
Cd  0.027  0.973  0.750
Cd  0.334  0.467  0.022
Cd  0.467  0.334  0.522
Cd  0.533  0.666  0.478
Cd  0.666  0.533  0.978
Cd  0.973  0.027  0.250
Ga  0.144  0.283  0.597
Ga  0.283  0.144  0.097
Ga  0.717  0.856  0.903
Ga  0.856  0.717  0.403
Hg  0.028  0.674  0.962
Hg  0.187  0.603  0.486
Hg  0.326  0.972  0.538
Hg  0.397  0.813  0.014
Hg  0.603  0.187  0.986
Hg  0.674  0.028  0.462
Hg  0.813  0.397  0.514
Hg  0.972  0.326  0.038

Properties
calculated formation energy: 0.05 eV/atom
energy: -0.0391 hartree per atom


Record 9
# CdGaHg

CdGaHg after structural relaxation (PBE-GGA, the Alexandria database).

a = 2.991 Å, b = 4.078 Å, c = 11.503 Å
α = 90.30°, β = 90.64°, γ = 92.78°
Atoms (fractional coordinates):
Cd  0.250  0.244  0.085
Cd  0.750  0.756  0.915
Ga  0.250  0.258  0.769
Ga  0.750  0.742  0.231
Hg  0.248  0.753  0.591
Hg  0.752  0.247  0.409

Properties
energy above the lowest structure with this stoichiometry: 0.0120 eV per atom
calculated formation energy: 0.05 eV/atom
energy: -0.0501 hartree per atom


Record 10
# Cd2Ga2Hg5

Cd2Ga2Hg5 after structural relaxation (PBE-GGA, the Alexandria database).

a = 4.808 Å, b = 5.918 Å, c = 8.055 Å
α = 85.44°, β = 77.24°, γ = 85.36°
Atoms (fractional coordinates):
Cd  0.142  0.205  0.254
Cd  0.858  0.795  0.746
Ga  0.281  0.006  0.904
Ga  0.719  0.994  0.096
Hg  0.075  0.697  0.357
Hg  0.327  0.492  0.857
Hg  0.500  0.000  0.500
Hg  0.673  0.508  0.143
Hg  0.925  0.303  0.643

Properties
calculated formation energy: 0.04 eV/atom
energy: -0.0369 hartree per atom


Record 11
# Cd8Ga3Hg2

Cd8Ga3Hg2 after structural relaxation (PBE-GGA, the Alexandria database).

a = 7.749 Å, b = 7.749 Å, c = 7.251 Å
α = 104.23°, β = 104.23°, γ = 51.68°
Atoms (fractional coordinates):
Cd  0.112  0.623  0.596
Cd  0.131  0.131  0.064
Cd  0.348  0.348  0.164
Cd  0.377  0.888  0.404
Cd  0.623  0.112  0.596
Cd  0.652  0.652  0.836
Cd  0.869  0.869  0.936
Cd  0.888  0.377  0.404
Ga  0.314  0.686  0.000
Ga  0.500  0.500  0.500
Ga  0.686  0.314  0.000
Hg  0.219  0.219  0.752
Hg  0.781  0.781  0.248

Properties
energy above the lowest structure with this stoichiometry: 0.0358 eV per atom
calculated formation energy: 0.10 eV/atom
energy: -0.0445 hartree per atom


Record 12
# Cd3Ga5Hg12

Cd3Ga5Hg12 after structural relaxation (PBE-GGA, the Alexandria database).

a = 14.368 Å, b = 14.368 Å, c = 14.368 Å
α = 109.47°, β = 109.47°, γ = 109.47°
Atoms (fractional coordinates):
Cd  0.125  0.250  0.375
Cd  0.125  0.375  0.750
Cd  0.250  0.375  0.125
Cd  0.250  0.875  0.625
Cd  0.375  0.125  0.250
Cd  0.375  0.750  0.125
Cd  0.625  0.250  0.875
Cd  0.625  0.875  0.750
Cd  0.750  0.125  0.375
Cd  0.750  0.625  0.875
Cd  0.875  0.625  0.250
Cd  0.875  0.750  0.625
Ga  0.000  0.000  0.000
Ga  0.000  0.000  0.500
Ga  0.000  0.500  0.000
Ga  0.000  0.500  0.500
Ga  0.125  0.750  0.875
Ga  0.125  0.875  0.250
Ga  0.250  0.125  0.875
Ga  0.250  0.625  0.375
Ga  0.375  0.250  0.625
Ga  0.375  0.625  0.750
Ga  0.500  0.000  0.000
Ga  0.500  0.000  0.500
Ga  0.500  0.500  0.000
Ga  0.500  0.500  0.500
Ga  0.625  0.375  0.250
Ga  0.625  0.750  0.375
Ga  0.750  0.375  0.625
Ga  0.750  0.875  0.125
Ga  0.875  0.125  0.750
Ga  0.875  0.250  0.125
Hg  0.053  0.225  0.129
Hg  0.053  0.328  0.924
Hg  0.076  0.629  0.404
Hg  0.076  0.947  0.672
Hg  0.096  0.725  0.672
Hg  0.096  0.871  0.424
Hg  0.129  0.053  0.225
Hg  0.129  0.576  0.904
Hg  0.172  0.225  0.596
Hg  0.172  0.447  0.576
Hg  0.225  0.129  0.053
Hg  0.225  0.596  0.172
Hg  0.275  0.328  0.904
Hg  0.275  0.447  0.371
Hg  0.328  0.904  0.275
Hg  0.328  0.924  0.053
Hg  0.371  0.275  0.447
Hg  0.371  0.596  0.924
Hg  0.404  0.076  0.629
Hg  0.404  0.828  0.775
Hg  0.424  0.096  0.871
Hg  0.424  0.828  0.553
Hg  0.447  0.371  0.275
Hg  0.447  0.576  0.172
Hg  0.553  0.424  0.828
Hg  0.553  0.629  0.725
Hg  0.576  0.172  0.447
Hg  0.576  0.904  0.129
Hg  0.596  0.172  0.225
Hg  0.596  0.924  0.371
Hg  0.629  0.404  0.076
Hg  0.629  0.725  0.553
Hg  0.672  0.076  0.947
Hg  0.672  0.096  0.725
Hg  0.725  0.553  0.629
Hg  0.725  0.672  0.096
Hg  0.775  0.404  0.828
Hg  0.775  0.871  0.947
Hg  0.828  0.553  0.424
Hg  0.828  0.775  0.404
Hg  0.871  0.424  0.096
Hg  0.871  0.947  0.775
Hg  0.904  0.129  0.576
Hg  0.904  0.275  0.328
Hg  0.924  0.053  0.328
Hg  0.924  0.371  0.596
Hg  0.947  0.672  0.076
Hg  0.947  0.775  0.871

Properties
calculated formation energy: 0.14 eV/atom
energy: -0.0345 hartree per atom